1.
LiIn2Tc: relaxed, GGA-PBE.

Computed properties:
Symmetry: Pmm2
Total magnetization in μB/cell: 0.00
Energy relative to the lowest polymorph listed for this composition in meV per atom: 206
E_tot in eV for the cell shown: -16.89

Lattice parameters (Å, degrees): 2.9358 4.4593 5.7230 90.00 90.00 90.00
Positions (direct):
Tc: 0.5000 0.5000 0.7709
In: 0.5000 0.5000 0.2890
In: 0.0000 0.0000 0.9447
Li: 0.0000 0.0000 0.4954

2.
AlSiPb2: relaxed, GGA-PBE.

Computed properties:
Symmetry: Imm2
Formation energy without anion corrections in kcal/mol of atoms: 7.5
Total magnetization in μB/cell: 0.00
E_tot in eV for the cell shown: -15.28

Lattice parameters (Å, degrees): 6.2323 6.2323 6.2323 148.78 127.94 61.96
Positions (direct):
Al: 0.2852 0.7852 0.5000
Si: 0.4725 0.4725 0.0000
Pb: 0.0221 0.0221 0.0000
Pb: 0.7202 0.2202 0.5000

3.
KNp2Au2S6: relaxed, GGA-PBE.

Computed properties:
Symmetry: P-1
Formation energy without anion corrections in kcal/mol of atoms: -19.7
Total magnetization in μB/cell: 5.00
E_tot in eV for the cell shown: -67.68

Lattice parameters (Å, degrees): 7.0934 7.5033 7.9169 123.06 88.76 63.12
Positions (direct):
S: 0.4258 0.7869 0.0689
K: 0.5000 0.0000 0.5000
Np: 0.1651 0.6621 0.1649
S: 0.9545 0.4553 0.1751
S: 0.0455 0.5447 0.8249
S: 0.5742 0.2131 0.9311
Np: 0.8349 0.3379 0.8351
S: 0.1804 0.8403 0.5634
S: 0.8196 0.1597 0.4366
Au: 0.2549 0.7612 0.8112
Au: 0.7451 0.2388 0.1888

4.
CrPt4Rh: relaxed, GGA-PBE.

Computed properties:
Symmetry: F-43m
Total magnetization in μB/cell: 2.60
Energy relative to the lowest polymorph listed for this composition in meV per atom: 361
E_tot in eV for the cell shown: -39.95

Lattice parameters (Å, degrees): 5.2156 5.2156 5.2156 60.00 60.00 60.00
Positions (direct):
Pt: 0.3751 0.3751 0.8747
Pt: 0.3751 0.3751 0.3751
Pt: 0.3751 0.8747 0.3751
Rh: 0.7500 0.7500 0.7500
Cr: 0.0000 0.0000 0.0000
Pt: 0.8747 0.3751 0.3751